[1]
DFT (GGA-PBE) results for an optimized crystal structure of Li2NdPd3.

Electronic total energy in eV per cell: -55.3
Energy of formation in meV/atom: -576
V in Å³ per atom: 17.59

extended XYZ file:
```
12
Lattice="4.454 0.000 0.000 -2.227 3.857 0.000 0.000 0.000 12.288" Properties=species:S:1:pos:R:3 pbc="T T T"
Li 0.000 2.571 0.920
Li 0.000 2.571 5.224
Li 2.227 1.286 7.064
Li 2.227 1.286 11.367
Nd 0.000 0.000 3.072
Nd 0.000 0.000 9.216
Pd 0.000 0.000 0.000
Pd 0.000 0.000 6.144
Pd 0.000 2.571 7.754
Pd 0.000 2.571 10.678
Pd 2.227 1.286 1.610
Pd 2.227 1.286 4.534
```

***

[2]
DFT (GGA-PBE) results for an optimized crystal structure of LiNd2Pd.

Electronic total energy in eV per cell: -17.4
Energy of formation in meV/atom: -196
V in Å³ per atom: 29.63

extended XYZ file:
```
4
Lattice="1.942 1.121 9.067 -1.942 1.121 9.067 0.000 -2.243 9.067" Properties=species:S:1:pos:R:3 pbc="T T T"
Li 0.000 0.000 0.000
Nd 0.000 0.000 6.383
Nd 0.000 0.000 20.819
Pd 0.000 0.000 13.601
```

***

[3]
DFT (GGA-PBE) results for an optimized crystal structure of Li5Nd4Pd6.

Electronic total energy in eV per cell: -134.5
Energy of formation in meV/atom: -497
V in Å³ per atom: 21.00

extended XYZ file:
```
30
Lattice="2.047 -10.260 0.000 2.047 10.260 0.000 0.000 0.000 14.997" Properties=species:S:1:pos:R:3 pbc="T T T"
Li 2.047 9.043 7.498
Li 2.047 7.337 12.400
Li 2.047 6.665 1.270
Li 2.047 6.310 6.522
Li 2.047 3.300 6.932
Li 2.047 -3.300 14.431
Li 2.047 -6.310 14.021
Li 2.047 -6.665 8.768
Li 2.047 -7.337 4.901
Li 2.047 -9.043 0.000
Nd 2.047 3.969 11.435
Nd 2.047 3.119 1.995
Nd 2.047 0.867 9.269
Nd 2.047 0.304 5.232
Nd 2.047 -0.304 12.731
Nd 2.047 -0.867 1.771
Nd 2.047 -3.119 9.493
Nd 2.047 -3.969 3.937
Pd 2.047 9.261 10.450
Pd 2.047 8.784 14.631
Pd 2.047 8.496 4.191
Pd 2.047 5.133 8.791
Pd 2.047 4.371 4.636
Pd 2.047 2.332 13.927
Pd 2.047 -2.332 6.429
Pd 2.047 -4.371 12.134
Pd 2.047 -5.133 1.293
Pd 2.047 -8.496 11.690
Pd 2.047 -8.784 7.133
Pd 2.047 -9.261 2.952
```

***

[4]
DFT (GGA-PBE) results for an optimized crystal structure of LiNd2Pd3.

Electronic total energy in eV per cell: -30.3
Energy of formation in meV/atom: -538
V in Å³ per atom: 22.33
Energy relative to the lowest polymorph listed for this composition in eV/f.u.: 0.31

extended XYZ file:
```
6
Lattice="-2.215 2.812 5.378 2.215 -2.812 5.378 2.215 2.812 -5.378" Properties=species:S:1:pos:R:3 pbc="T T T"
Li 0.000 0.000 0.000
Nd 0.000 0.000 3.405
Nd 0.000 0.000 7.352
Pd 2.215 0.000 1.359
Pd 0.000 2.812 0.000
Pd 0.000 2.812 4.019
```

***

[5]
DFT (GGA-PBE) results for an optimized crystal structure of Li4Nd3Pd4.

Electronic total energy in eV per cell: -47.1
Energy of formation in meV/atom: -397
V in Å³ per atom: 19.97
Energy relative to the lowest polymorph listed for this composition in eV/f.u.: 1.38

extended XYZ file:
```
11
Lattice="-3.801 3.801 3.801 3.801 -3.801 3.801 3.801 3.801 -3.801" Properties=species:S:1:pos:R:3 pbc="T T T"
Li 0.918 0.918 -0.918
Li 0.918 -0.918 0.918
Li -0.918 0.918 0.918
Li 2.883 2.883 2.883
Nd 3.801 0.000 0.000
Nd 0.000 3.801 0.000
Nd 0.000 0.000 3.801
Pd 2.277 2.277 -2.277
Pd 2.277 -2.277 2.277
Pd 1.524 1.524 1.524
Pd -2.277 2.277 2.277
```

***

[6]
DFT (GGA-PBE) results for an optimized crystal structure of LiNdPd2.

Electronic total energy in eV per cell: -19.5
Energy of formation in meV/atom: -600
V in Å³ per atom: 19.21

extended XYZ file:
```
4
Lattice="3.557 0.000 0.000 0.000 3.557 0.000 0.000 0.000 6.073" Properties=species:S:1:pos:R:3 pbc="T T T"
Li 0.000 0.000 0.000
Nd 0.000 0.000 3.037
Pd 1.778 1.778 1.375
Pd 1.778 1.778 4.699
```

***

[7]
DFT (GGA-PBE) results for an optimized crystal structure of Li3Nd2Pd2.

Electronic total energy in eV per cell: -28.4
Energy of formation in meV/atom: -387
V in Å³ per atom: 24.54

extended XYZ file:
```
7
Lattice="2.276 -10.315 0.000 2.276 10.315 0.000 0.000 0.000 3.657" Properties=species:S:1:pos:R:3 pbc="T T T"
Li 0.000 0.000 0.000
Li 2.276 1.491 1.829
Li 2.276 -1.491 1.829
Nd 2.276 6.727 0.000
Nd 2.276 -6.727 0.000
Pd 2.276 4.226 1.829
Pd 2.276 -4.226 1.829
```

***

[8]
DFT (GGA-PBE) results for an optimized crystal structure of LiNd2Pd7.

Electronic total energy in eV per cell: -49.9
Energy of formation in meV/atom: -211
V in Å³ per atom: 19.83

extended XYZ file:
```
10
Lattice="0.000 4.629 4.629 4.629 0.000 4.629 4.629 4.629 0.000" Properties=species:S:1:pos:R:3 pbc="T T T"
Li 0.000 0.000 0.000
Nd 2.314 2.314 2.314
Nd 6.943 6.943 6.943
Pd 4.629 4.629 2.130
Pd 4.629 2.130 4.629
Pd 7.127 4.629 4.629
Pd 4.629 4.629 4.629
Pd 2.130 4.629 4.629
Pd 4.629 7.127 4.629
Pd 4.629 4.629 7.127
```